Crystalline ZrFe2F at its relaxed geometry, computed with GGA+U.

Summary:
Electronic total energy, Ry per atom: -0.35166

Unit cell a=6.473 b=6.473 c=6.473 alpha=90.00 beta=90.00 gamma=90.00
Space group Fm-3m (No. 225)
Inequivalent atoms, fractional coordinates:
Zr: 0.000 0.000 0.000 (multiplicity 4)
Fe: 0.250 0.250 0.250 (multiplicity 8)
F: 0.000 0.000 0.500 (multiplicity 4)